Nd2GdMg | PBE-GGA | optimized geometry

Cell lengths 5.7003, 5.7003, 3.8814 Å; angles 90.00, 90.00, 90.00 degrees
Closest atoms and distances in Å follow each position.
Fractional coordinates of all 4 atoms:
Nd  0.0000  0.5000  0.0000  4 Gd 3.45, 4 Mg 3.45
Nd  0.5000  0.0000  0.0000  4 Gd 3.45, 4 Mg 3.45
Gd  0.0000  0.0000  0.5000  8 Nd 3.45
Mg  0.5000  0.5000  0.5000  8 Nd 3.45

Calculated values
The value obtained for the offset from the most stable computed form is 0.037 eV per atom. Its symmetry is P4/mmm (123). The total energy is -25.202 eV/cell. As for the formation enthalpy at 0 K: 0.00 eV/atom.